Record 1
VASP calculation (GGA-PBE) on an optimized crystal structure of Pd2RuSe.

abc: 7.198 7.198 5.111
angles: 90.00 90.00 90.00
Space group I-42d (No. 122)
Asymmetric unit:
Pd  0.224  0.250  0.125 [8 per cell]
Ru  0.000  0.000  0.500 [4 per cell]
Se  0.000  0.000  0.000 [4 per cell]

Spin magnetization (μB per formula unit): 0.6
Volume (Å³ per cell): 265
Crystal system: tetragonal

---

Record 2
VASP calculation (GGA-PBE) on an optimized crystal structure of PdRuSe4.

abc: 6.118 6.165 6.133
angles: 90.00 90.18 90.00
Space group P2_1/c (No. 14)
Asymmetric unit:
Pd  0.000  0.000  0.000 [2 per cell]
Ru  0.500  0.000  0.500 [2 per cell]
Se  0.126  0.113  0.392 [4 per cell]
Se  0.392  0.625  0.374 [4 per cell]

Offset from the most stable computed form (meV/atom): 0.0
Spin magnetization (μB per formula unit): 0.0
Volume (Å³ per cell): 231
Crystal system: monoclinic

---

Record 3
VASP calculation (GGA-PBE) on an optimized crystal structure of PdRuSe2.

abc: 3.4781 3.4781 23.3514
angles: 90.00 90.00 120.00
Space group R-3m (No. 166, hexagonal axes)
Asymmetric unit:
Pd  0.0000  0.0000  0.0000 [3 per cell]
Ru  0.0000  0.0000  0.5000 [3 per cell]
Se  0.0000  0.0000  0.1033 [6 per cell]

Offset from the most stable computed form (meV/atom): 34.1
Spin magnetization (μB per formula unit): 0.0
Volume (Å³ per cell): 245
Crystal system: trigonal

---

Record 4
VASP calculation (GGA-PBE) on an optimized crystal structure of PdRuSe2.

abc: 3.1390 3.1390 25.5213
angles: 90.00 90.00 120.00
Space group R-3m (No. 166, hexagonal axes)
Asymmetric unit:
Pd  0.0000  0.0000  0.0000 [3 per cell]
Ru  0.0000  0.0000  0.5000 [3 per cell]
Se  0.0000  0.0000  0.4080 [6 per cell]

Offset from the most stable computed form (meV/atom): 377.3
Spin magnetization (μB per formula unit): 0.0
Volume (Å³ per cell): 218
Crystal system: trigonal

---

Record 5
VASP calculation (GGA-PBE) on an optimized crystal structure of PdRuSe4.

abc: 12.127 3.683 6.470
angles: 90.00 121.76 90.00
Space group C2/m (No. 12)
Asymmetric unit:
Pd  0.000  0.000  0.000 [2 per cell]
Ru  0.000  0.500  0.500 [2 per cell]
Se  0.128  0.000  0.466 [4 per cell]
Se  0.131  0.500  0.954 [4 per cell]

Offset from the most stable computed form (meV/atom): 98.9
Spin magnetization (μB per formula unit): 0.0
Volume (Å³ per cell): 246
Crystal system: monoclinic

---

Record 6
VASP calculation (GGA-PBE) on an optimized crystal structure of PdRuSe2.

abc: 6.365 6.365 6.365
angles: 90.00 90.00 90.00
Space group Fm-3m (No. 225)
Asymmetric unit:
Pd  0.000  0.000  0.000 [4 per cell]
Ru  0.000  0.000  0.500 [4 per cell]
Se  0.250  0.250  0.250 [8 per cell]

Offset from the most stable computed form (meV/atom): 182.1
Spin magnetization (μB per formula unit): 0.0
Volume (Å³ per cell): 258
Crystal system: cubic

---

Record 7
VASP calculation (GGA-PBE) on an optimized crystal structure of PdRuSe2.

abc: 5.638 5.638 11.193
angles: 90.00 90.00 90.00
Space group I-42d (No. 122)
Asymmetric unit:
Pd  0.000  0.000  0.000 [4 per cell]
Ru  0.000  0.000  0.500 [4 per cell]
Se  0.231  0.250  0.625 [8 per cell]

Offset from the most stable computed form (meV/atom): 0.0
Spin magnetization (μB per formula unit): 0.0
Volume (Å³ per cell): 356
Crystal system: tetragonal

---

Record 8
VASP calculation (GGA-PBE) on an optimized crystal structure of SiPdRuSe2.

abc: 4.900 4.900 4.495
angles: 90.00 90.00 90.00
Space group P4/mmm (No. 123)
Asymmetric unit:
Si  0.000  0.000  0.000 [1 per cell]
Pd  0.500  0.500  0.000 [1 per cell]
Ru  0.000  0.000  0.500 [1 per cell]
Se  0.000  0.500  0.500 [2 per cell]

Spin magnetization (μB per formula unit): 0.0
Volume (Å³ per cell): 108
Crystal system: tetragonal

---

Record 9
VASP calculation (GGA-PBE) on an optimized crystal structure of Th4PdRuSe2.

abc: 7.127 4.137 7.705
angles: 90.00 107.81 90.00
Space group P2/m (No. 10)
Asymmetric unit:
Th  0.233  0.000  0.221 [2 per cell]
Th  0.245  0.500  0.774 [2 per cell]
Pd  0.500  0.000  0.000 [1 per cell]
Ru  0.000  0.500  0.000 [1 per cell]
Se  0.000  0.000  0.500 [1 per cell]
Se  0.500  0.500  0.500 [1 per cell]

Spin magnetization (μB per formula unit): 0.0
Volume (Å³ per cell): 216
Crystal system: monoclinic

---

Record 10
VASP calculation (GGA-PBE) on an optimized crystal structure of Th8PdRu3Se4.

abc: 8.2238 8.2238 22.1113
angles: 90.00 90.00 120.00
Space group R-3m (No. 166, hexagonal axes)
Asymmetric unit:
Th  0.0000  0.0000  0.2387 [6 per cell]
Th  0.0097  0.5048  0.7609 [18 per cell]
Pd  0.0000  0.0000  0.5000 [3 per cell]
Ru  0.0000  0.5000  0.5000 [9 per cell]
Se  0.0000  0.0000  0.0000 [3 per cell]
Se  0.0000  0.5000  0.0000 [9 per cell]

Spin magnetization (μB per formula unit): 0.0
Volume (Å³ per cell): 1295
Crystal system: trigonal

---

Record 11
VASP calculation (GGA-PBE) on an optimized crystal structure of ZrPdRuSe2.

abc: 5.104 5.104 5.038
angles: 90.00 90.00 90.00
Space group P4/mmm (No. 123)
Asymmetric unit:
Zr  0.000  0.000  0.000 [1 per cell]
Pd  0.000  0.000  0.500 [1 per cell]
Ru  0.500  0.500  0.500 [1 per cell]
Se  0.000  0.500  0.000 [2 per cell]

Spin magnetization (μB per formula unit): 3.1
Volume (Å³ per cell): 131
Crystal system: tetragonal

---

Record 12
VASP calculation (GGA-PBE) on an optimized crystal structure of SiPdRu.

abc: 5.665 5.665 5.665
angles: 90.00 90.00 90.00
Space group F-43m (No. 216)
Asymmetric unit:
Si  0.000  0.000  0.000 [4 per cell]
Pd  0.250  0.250  0.250 [4 per cell]
Ru  0.250  0.250  0.750 [4 per cell]

Offset from the most stable computed form (meV/atom): 4.6
Spin magnetization (μB per formula unit): 0.0
Volume (Å³ per cell): 182
Crystal system: cubic

---

It is found that the ΔE_f (raw) values, taken in the order of the records, are 0.290, -0.322, -0.013, 0.331, -0.223, 0.135, -0.047, 0.604, -1.071, -1.077, 0.681, -0.434 eV per atom.
It is found that the E values, taken in the order of the records, are -87.95, -60.68, -64.46, -60.35, -59.49, -83.58, -86.50, -23.84, -59.69, -370.63, -26.58, -84.77 eV for the cell shown.